(1)
Computed, not measured: a PBEsol-optimized structure of Hg2Pb2Cl at the meta-GGA SCAN level of DFT.

**Magnetic moment**: 0.00 μB/f.u.
**Formation energy (no corrections)**: -0.149 eV per atom
**DFT total energy**: -4.3602 Ry per atom

```
Hg2Pb2Cl
1.0
-2.0565 2.0565 7.9707
2.0565 -2.0565 7.9707
2.0565 2.0565 -7.9707
Hg Pb Cl
2 2 1
Cartesian
2.0565 0.0000 3.9853
0.0000 2.0565 3.9853
0.0000 0.0000 1.5862
0.0000 0.0000 14.3551
0.0000 0.0000 7.9707
```

***

(2)
Computed, not measured: a PBEsol-optimized structure of HgPb3Cl at the meta-GGA SCAN level of DFT.

**Magnetic moment**: 0.00 μB/f.u.
**Formation energy (no corrections)**: 0.286 eV per atom
**DFT total energy**: -4.4401 Ry per atom

```
HgPb3Cl
1.0
5.6767 0.0000 0.0000
0.0000 5.6767 0.0000
0.0000 0.0000 5.6767
Hg Pb Cl
1 3 1
Cartesian
0.0000 0.0000 0.0000
0.0000 0.0000 2.8384
0.0000 2.8384 0.0000
2.8384 0.0000 0.0000
2.8384 2.8384 2.8384
```

***

(3)
Computed, not measured: a PBEsol-optimized structure of HgPdS2Cl at the meta-GGA SCAN level of DFT.

**Magnetic moment**: 2.07 μB/f.u.
**Formation energy (no corrections)**: 0.879 eV per atom
**DFT total energy**: -1.8195 Ry per atom

```
HgPdS2Cl
1.0
4.9036 0.0000 0.0000
0.0000 4.9036 0.0000
0.0000 0.0000 5.0149
Hg Pd S Cl
1 1 2 1
Cartesian
0.0000 0.0000 0.0000
2.4518 2.4518 2.5074
0.0000 2.4518 0.0000
2.4518 0.0000 0.0000
0.0000 0.0000 2.5074
```

***

(4)
Computed, not measured: a PBEsol-optimized structure of Tl2Hg2PdCl8 at the meta-GGA SCAN level of DFT.

**Magnetic moment**: 0.00 μB/f.u.
**Formation energy (no corrections)**: -0.808 eV per atom
**DFT total energy**: -2.1945 Ry per atom

```
Tl2Hg2PdCl8
1.0
5.5822 -3.3004 0.0000
5.5822 3.3004 0.0000
-3.0085 0.0000 9.0915
Tl Hg Pd Cl
2 2 1 8
Cartesian
0.1349 0.0000 3.0623
8.0209 0.0000 6.0292
3.7959 0.0000 0.8839
4.3600 0.0000 8.2076
4.0779 0.0000 4.5457
2.9440 1.5969 3.3686
-1.3569 0.0000 9.0584
5.2119 1.5969 5.7229
2.1920 0.0000 7.3254
5.9639 0.0000 1.7661
2.9440 -1.5969 3.3686
9.5128 0.0000 0.0331
5.2119 -1.5969 5.7229
```

***

- Look up the magnetic moment of the third one.
  2.07 μB/f.u.

***

Copy entry 1 word for word.
Computed, not measured: a PBEsol-optimized structure of Hg2Pb2Cl at the meta-GGA SCAN level of DFT.

**Magnetic moment**: 0.00 μB/f.u.
**Formation energy (no corrections)**: -0.149 eV per atom
**DFT total energy**: -4.3602 Ry per atom

```
Hg2Pb2Cl
1.0
-2.0565 2.0565 7.9707
2.0565 -2.0565 7.9707
2.0565 2.0565 -7.9707
Hg Pb Cl
2 2 1
Cartesian
2.0565 0.0000 3.9853
0.0000 2.0565 3.9853
0.0000 0.0000 1.5862
0.0000 0.0000 14.3551
0.0000 0.0000 7.9707
```